First-principles (PBE-GGA) data for a relaxed structure of Li4ThSc3Se8, as listed in Alexandria via LeMat-Bulk.

Cell and atoms, written as CIF:
```
data_Li4ThSc3Se8
_cell_length_a 7.8804
_cell_length_b 7.8804
_cell_length_c 19.4317
_cell_angle_alpha 90.00
_cell_angle_beta 90.00
_cell_angle_gamma 120.00
_symmetry_space_group_name_H-M 'R -3 m'
_symmetry_Int_Tables_number 166
_symmetry_space_group_name_Hall '-R 3 2"'
loop_
_atom_site_label
_atom_site_type_symbol
_atom_site_fract_x
_atom_site_fract_y
_atom_site_fract_z
_atom_site_occupancy
Li1 Li 0.0000 0.0000 0.0000 1
Li2 Li 0.0000 0.5000 0.0000 1
Th1 Th 0.0000 0.0000 0.5000 1
Sc1 Sc 0.0000 0.5000 0.5000 1
Se1 Se 0.0000 0.0000 0.2468 1
Se2 Se 0.0149 0.5075 0.7491 1
```

Volume = 21.771 Å³ per atom
Size of the total moment = 0.0 μB/f.u.
ΔE_f (raw) = -1.56 eV/atom
Density of states at the Fermi level = 4.56 states/eV/f.u.